No. 1
A plane-wave DFT calculation with PBE was carried out for crystalline Rb3Er2ScO6 at its relaxed geometry.

abc: 5.908 10.232 6.809
angles: 90.00 106.80 90.00
Space group C2/m (No. 12)
Asymmetric unit:
Rb 0.000 0.000 0.000
Rb 0.000 0.334 0.000
Er 0.000 0.167 0.500
Sc 0.000 0.500 0.500
O 0.218 0.339 0.672
O 0.235 0.000 0.672

No. 2
A plane-wave DFT calculation with PBE was carried out for crystalline Rb2ErScO4 at its relaxed geometry.

abc: 7.018 7.188 10.027
angles: 90.00 90.00 90.00
Space group Imma (No. 74)
Asymmetric unit:
Rb 0.000 0.000 0.000
Rb 0.250 0.250 0.250
Er 0.000 0.000 0.500
Sc 0.250 0.250 0.750
O 0.000 0.054 0.730
O 0.206 0.250 0.529

No. 3
A plane-wave DFT calculation with PBE was carried out for crystalline Rb2ErSeO6 at its relaxed geometry.

abc: 6.4787 6.4787 5.6646
angles: 90.00 90.00 120.00
Space group P-3m1 (No. 164)
Asymmetric unit:
Rb 0.3333 0.6667 0.3796
Er 0.0000 0.0000 0.0000
Se 0.0000 0.0000 0.5000
O 0.1310 0.2621 0.6948

Calculated VASP energy, -160.86, -211.71, -55.17 eV per cell (same order as the records).
Calculated raw formation energy, -2693, -2533, -1544 meV/atom (same order as the records).